Entry 1:
Computed, not measured: crystalline EuCuNi4 at its relaxed geometry at the PBE level of DFT.

Geometry as extended XYZ:
```
6
Lattice="4.920 0.000 0.000 2.460 4.261 0.000 2.460 1.420 4.017" Properties=species:S:1:pos:R:3 pbc="T T T"
Ni 3.680 3.556 2.515
Eu 2.460 1.420 1.004
Ni 4.920 2.841 0.490
Cu 0.000 0.000 0.000
Ni 4.920 1.409 2.515
Ni 6.160 3.556 2.515
```

Properties
Its space group is F-43m (216). The calculation puts the formation energy at -3.1 kJ/mol of atoms.



Entry 2:
Computed, not measured: crystalline SnGe2N at its relaxed geometry at the PBE level of DFT.

Geometry as extended XYZ:
```
4
Lattice="4.340 0.000 0.000 2.170 3.759 0.000 2.170 1.253 6.315" Properties=species:S:1:pos:R:3 pbc="T T T"
Ge 2.170 1.253 4.567
Sn 4.340 2.506 3.157
Ge 6.511 3.759 1.747
N 0.000 0.000 0.000
```

Properties
Its space group is R-3m (166). Its energy above the lowest structure with this stoichiometry is 40 meV per atom.



Entry 3:
Computed, not measured: crystalline Sr4PrZn5 at its relaxed geometry at the PBE level of DFT.

Geometry as extended XYZ:
```
10
Lattice="3.851 0.000 0.000 0.000 3.851 0.000 0.000 0.000 19.459" Properties=species:S:1:pos:R:3 pbc="T T T"
Sr 0.000 0.000 7.733
Zn 1.926 1.926 13.700
Zn 1.926 1.926 17.775
Zn 1.926 1.926 9.730
Sr 0.000 0.000 3.772
Sr 0.000 0.000 15.687
Pr 0.000 0.000 0.000
Sr 0.000 0.000 11.726
Zn 1.926 1.926 5.759
Zn 1.926 1.926 1.684
```

Properties
Its space group is P4/mmm (123). The calculation puts the formation energy at -19.7 kJ/mol of atoms.



Entry 4:
Computed, not measured: crystalline Sm2ScAg at its relaxed geometry at the PBE level of DFT.

Geometry as extended XYZ:
```
4
Lattice="3.330 0.000 0.000 1.665 2.884 0.000 1.665 0.961 11.549" Properties=species:S:1:pos:R:3 pbc="T T T"
Sm 1.665 0.961 8.340
Ag 3.330 1.923 5.775
Sc 0.000 0.000 0.000
Sm 4.995 2.884 3.209
```

Properties
Its space group is R-3m (166). Its energy above the lowest structure with this stoichiometry is 318 meV per atom. The calculation puts the formation energy at 21.9 kJ/mol of atoms.



Entry 5:
Computed, not measured: crystalline TlAgPd6 at its relaxed geometry at the PBE level of DFT.

Geometry as extended XYZ:
```
8
Lattice="4.661 0.000 0.000 0.000 5.049 -2.703 0.000 -0.188 5.724" Properties=species:S:1:pos:R:3 pbc="T T T"
Pd 0.000 2.883 0.781
Pd 2.330 2.098 -0.650
Pd 0.000 2.787 3.701
Ag 0.000 0.247 5.023
Pd 2.330 4.608 -1.994
Tl 2.330 1.994 2.212
Pd 0.000 0.308 2.160
Pd 2.330 4.514 0.852
```

Properties
Its space group is P-6m2 (187). Its energy above the lowest structure with this stoichiometry is 0 meV per atom. The calculation puts the formation energy at -8.0 kJ/mol of atoms.



Entry 6:
Computed, not measured: crystalline Li3Ag2Hg at its relaxed geometry at the PBE level of DFT.

Geometry as extended XYZ:
```
6
Lattice="3.277 0.000 0.000 0.000 3.277 0.000 0.000 0.000 9.393" Properties=species:S:1:pos:R:3 pbc="T T T"
Li 0.000 0.000 6.335
Ag 1.638 1.638 1.513
Li 0.000 0.000 0.000
Ag 1.638 1.638 7.880
Li 0.000 0.000 3.058
Hg 1.638 1.638 4.696
```

Properties
Its space group is P4/mmm (123). Its energy above the lowest structure with this stoichiometry is 9 meV per atom. The calculation puts the formation energy at -24.7 kJ/mol of atoms.



Entry 7:
Computed, not measured: crystalline AlCuBr3 at its relaxed geometry at the PBE level of DFT.

Geometry as extended XYZ:
```
5
Lattice="-0.731 -1.876 4.663 4.972 0.422 0.949 -0.738 4.701 1.776" Properties=species:S:1:pos:R:3 pbc="T T T"
Br -0.365 -0.938 2.331
Cu 0.000 0.000 0.000
Br 2.486 0.211 0.475
Br -0.369 2.350 0.888
Al 1.751 1.623 3.694
```

Properties
Its space group is Pm-3m (221). Its energy above the lowest structure with this stoichiometry is 0 meV per atom.



Entry 8:
Computed, not measured: crystalline Pm2SmEr2 at its relaxed geometry at the PBE level of DFT.

Geometry as extended XYZ:
```
5
Lattice="3.472 0.000 0.917 1.732 3.111 0.474 -1.992 -3.172 14.572" Properties=species:S:1:pos:R:3 pbc="T T T"
Sm 1.606 -0.031 7.982
Er 0.869 -2.122 10.769
Er 2.342 2.061 5.194
Pm 1.346 1.036 1.933
Pm 1.865 -1.097 14.030
```

Properties
Its space group is C2/m (12). Its energy above the lowest structure with this stoichiometry is 0 meV per atom. The calculation puts the formation energy at 2.3 kJ/mol of atoms.